Entry 1:
{
  "formula": "Na2InTc",
  "functional": "PBE-GGA",
  "state": "optimized geometry",
  "dft_energy_ev_per_atom": -3.06,
  "mass_density_g_cm3": 4.3,
  "space_group": "I-42d",
  "delta_e_f_ev_per_atom": 0.8752,
  "cell": [[-4.2110, 4.2110, 2.7859], [4.2110, -4.2110, 2.7859], [4.2110, 4.2110, -2.7859]],
  "species": ["Na", "Na", "Na", "Na", "In", "In", "Tc", "Tc"],
  "fractional_positions": [[0.1168, 0.6250, 0.9918], [0.3750, 0.3668, 0.4918], [0.6332, 0.1250, 0.0082], [0.8750, 0.8832, 0.5082], [0.2500, 0.7500, 0.5000], [0.5000, 0.5000, 0.0000], [0.0000, 0.0000, 0.0000], [0.7500, 0.2500, 0.5000]]
}

Entry 2:
{
  "formula": "Re2MoCl",
  "functional": "PBE-GGA",
  "state": "optimized geometry",
  "dft_energy_ev_per_atom": -8.51,
  "relative_energy_ev_per_fu": 2.55,
  "mass_density_g_cm3": 12.9,
  "space_group": "Pmmm",
  "raw_formation_energy_ev_per_atom": 0.8803,
  "cell": [[2.9078, 0.0000, 0.0000], [0.0000, 4.1272, 0.0000], [0.0000, 0.0000, 5.3919]],
  "species": ["Re", "Re", "Mo", "Cl"],
  "fractional_positions": [[0.0000, 0.0000, 0.2206], [0.0000, 0.0000, 0.7794], [0.5000, 0.5000, 0.0000], [0.5000, 0.5000, 0.5000]]
}

Entry 3:
{
  "formula": "LiZnCdPt",
  "functional": "PBE-GGA",
  "state": "optimized geometry",
  "dft_energy_ev_per_atom": -2.95,
  "mass_density_g_cm3": 10.1,
  "space_group": "Imm2",
  "delta_e_f_ev_per_atom": -0.4174,
  "cell": [[-1.8981, 1.9102, 4.3265], [1.8981, -1.9102, 4.3265], [1.8981, 1.9102, -4.3265]],
  "species": ["Li", "Zn", "Cd", "Pt"],
  "fractional_positions": [[0.0000, 0.0000, 0.0000], [0.7503, 0.2503, 0.5000], [0.5001, 0.5001, 0.0000], [0.2498, 0.7498, 0.5000]]
}

Entry 4:
{
  "formula": "LiHo2Ru",
  "functional": "PBE-GGA",
  "state": "optimized geometry",
  "dft_energy_ev_per_atom": -5.35,
  "relative_energy_ev_per_fu": 0.16,
  "mass_density_g_cm3": 7.8,
  "space_group": "P4/mmm",
  "delta_e_f_ev_per_atom": -0.2594,
  "cell": [[3.3998, 0.0000, 0.0000], [0.0000, 3.3998, 0.0000], [0.0000, 0.0000, 8.0821]],
  "species": ["Li", "Ho", "Ho", "Ru"],
  "fractional_positions": [[0.0000, 0.0000, 0.0000], [0.5000, 0.5000, 0.2968], [0.5000, 0.5000, 0.7032], [0.0000, 0.0000, 0.5000]]
}

Entry 5:
{
  "formula": "CuAgMo2",
  "functional": "PBE-GGA",
  "state": "optimized geometry",
  "dft_energy_ev_per_atom": -6.76,
  "relative_energy_ev_per_fu": 0.63,
  "mass_density_g_cm3": 9.7,
  "space_group": "Pmm2",
  "delta_e_f_ev_per_atom": 0.3902,
  "cell": [[2.6351, 0.0000, 0.0000], [0.0000, 4.1039, 0.0000], [0.0000, 0.0000, 5.7456]],
  "species": ["Cu", "Ag", "Mo", "Mo"],
  "fractional_positions": [[0.0000, 0.0000, 0.0000], [0.5000, 0.5000, 0.7637], [0.0000, 0.0000, 0.4853], [0.5000, 0.5000, 0.2468]]
}

Entry 6:
{
  "formula": "Ba3Ta",
  "functional": "PBE-GGA",
  "state": "optimized geometry",
  "dft_energy_ev_per_atom": -3.48,
  "relative_energy_ev_per_fu": 1.59,
  "mass_density_g_cm3": 6.0,
  "space_group": "P-6m2",
  "delta_e_f_ev_per_atom": 0.9208,
  "cell": [[3.7934, 0.0000, 0.0000], [-1.8967, 3.2852, 0.0000], [0.0000, 0.0000, 13.0840]],
  "species": ["Ba", "Ba", "Ba", "Ta"],
  "fractional_positions": [[0.0000, 0.0000, 0.0000], [0.3333, 0.6667, 0.2985], [0.3333, 0.6667, 0.7015], [0.0000, 0.0000, 0.5000]]
}